DFT (PBE-GGA) results for crystalline TbSm2Ho4Mg at its relaxed geometry.

```
TbSm2Ho4Mg
1.0
4.950 0.000 0.000
0.000 4.848 1.053
0.000 2.714 10.904
Ho Sm Mg Tb
4 2 1 1
Cartesian
0.000 5.667 8.981 Ho
4.950 1.894 2.976 Ho
2.475 3.244 8.454 Ho
2.475 4.318 3.502 Ho
2.475 1.357 5.452 Sm
0.000 2.714 10.904 Sm
2.475 2.424 0.526 Mg
0.000 3.781 5.978 Tb
```

Properties
Its space-group type is Pmmm (47). The calculation puts the volume at 247.5 Å³/cell. Its magnetic moment is 0.0000 μB/atom. For the total energy, the calculation gives -0.3102 Ry per atom.



DFT (PBE-GGA) results for crystalline Mo2Rh3 at its relaxed geometry.

```
Mo2Rh3
1.0
2.109 -3.653 0.000
2.109 3.653 0.000
0.000 0.000 5.389
Mo Rh
2 3
Cartesian
2.109 1.218 4.507 Mo
2.109 -1.218 0.882 Mo
0.000 0.000 0.000 Rh
2.109 1.218 1.941 Rh
2.109 -1.218 3.448 Rh
```

Properties
Its space-group type is P-3m1 (164). The calculation puts the energy above the lowest structure with this stoichiometry at 422 meV/atom. The calculation puts the volume at 83.0 Å³/cell. Its magnetic moment is 0.0000 μB/atom. For the total energy, the calculation gives -0.6186 Ry per atom.



DFT (PBE-GGA) results for crystalline Fe3RuPt at its relaxed geometry.

```
Fe3RuPt
1.0
4.414 0.000 0.000
0.000 4.414 0.000
0.000 0.000 4.414
Fe Pt Ru
3 1 1
Cartesian
0.000 0.000 2.207 Fe
0.000 2.207 0.000 Fe
2.207 0.000 0.000 Fe
2.207 2.207 2.207 Pt
0.000 0.000 0.000 Ru
```

Properties
Its space-group type is Pm-3m (221). The calculation puts the energy above the lowest structure with this stoichiometry at 0 meV/atom. The calculation puts the volume at 86.0 Å³/cell. Its magnetic moment is 1.5047 μB/atom. For the total energy, the calculation gives -0.4941 Ry per atom.



DFT (PBE-GGA) results for crystalline AsPOsO2 at its relaxed geometry.

```
AsPOsO2
1.0
-2.552 -0.467 -2.428
0.216 -3.518 0.450
-4.319 0.309 4.481
O P Os As
2 1 1 1
Cartesian
0.108 -1.759 0.225 O
-1.276 -0.234 -1.214 O
-2.159 0.154 2.241 P
-3.328 -1.838 1.252 Os
0.000 0.000 0.000 As
```

Properties
Its space-group type is P4/mmm (123). The calculation puts the energy above the lowest structure with this stoichiometry at 639 meV/atom. The calculation puts the volume at 78.7 Å³/cell. Its magnetic moment is 0.3885 μB/atom. For the total energy, the calculation gives -0.4274 Ry per atom.



DFT (PBE-GGA) results for crystalline Na4InHg3 at its relaxed geometry.

```
Na4InHg3
1.0
-0.553 -2.968 1.605
1.366 -2.519 -4.189
11.750 -0.089 3.885
Na Hg In
4 3 1
Cartesian
1.964 -0.015 0.649 Na
4.408 -2.774 0.031 Na
7.511 -1.543 3.377 Na
10.467 -1.333 1.141 Na
10.647 -1.566 4.414 Hg
5.019 -0.038 1.660 Hg
7.437 -1.311 0.139 Hg
1.174 -2.749 -1.039 In
```

Properties
Its space-group type is Pmm2 (25). The calculation puts the energy above the lowest structure with this stoichiometry at 0 meV/atom. The calculation puts the volume at 214.8 Å³/cell. Its magnetic moment is 0.0000 μB/atom. For the total energy, the calculation gives -0.0968 Ry per atom.



DFT (PBE-GGA) results for crystalline Ac2SiIr at its relaxed geometry.

```
Ac2SiIr
1.0
4.440 0.000 0.000
0.000 5.861 -0.341
0.000 -3.371 8.765
Si Ac Ir
2 4 2
Cartesian
3.330 0.908 6.591 Si
1.110 1.582 1.832 Si
3.330 -0.248 3.669 Ac
1.110 2.738 4.754 Ac
1.110 4.375 0.393 Ac
3.330 -1.884 8.031 Ac
1.110 -0.114 6.231 Ir
3.330 2.604 2.192 Ir
```

Properties
Its space-group type is P2_1/m (11). The calculation puts the volume at 223.0 Å³/cell. Its magnetic moment is 0.0000 μB/atom. For the total energy, the calculation gives -0.4611 Ry per atom.



DFT (PBE-GGA) results for crystalline TaCuHg2Pt at its relaxed geometry.

```
TaCuHg2Pt
1.0
-1.217 -3.389 -2.987
0.052 -3.119 3.518
-4.518 0.878 0.845
Hg Pt Ta Cu
2 1 1 1
Cartesian
-2.259 0.439 0.423 Hg
-0.609 -1.695 -1.494 Hg
0.026 -1.560 1.759 Pt
-2.841 -2.815 0.688 Ta
0.000 0.000 0.000 Cu
```

Properties
Its space-group type is P4/mmm (123). The calculation puts the volume at 102.9 Å³/cell. Its magnetic moment is 0.0000 μB/atom. For the total energy, the calculation gives -0.2568 Ry per atom.



DFT (PBE-GGA) results for crystalline MgCdRh4 at its relaxed geometry.

```
MgCdRh4
1.0
0.000 3.674 3.674
3.674 0.000 3.674
3.674 3.674 0.000
Cd Rh Mg
1 4 1
Cartesian
5.511 5.511 5.511 Cd
4.592 2.755 4.592 Rh
4.592 4.592 2.755 Rh
2.755 2.755 2.755 Rh
2.755 4.592 4.592 Rh
0.000 0.000 0.000 Mg
```

Properties
Its space-group type is F-43m (216). The calculation puts the volume at 99.2 Å³/cell. Its magnetic moment is 0.0067 μB/atom. For the total energy, the calculation gives -0.3974 Ry per atom.



DFT (PBE-GGA) results for crystalline Sr2CaAs at its relaxed geometry.

```
Sr2CaAs
1.0
-2.051 -10.701 1.764
-0.192 -10.802 -2.263
2.367 -10.695 1.359
Ca Sr As
1 2 1
Cartesian
0.094 -24.149 0.646 Ca
0.121 -31.163 0.833 Sr
0.066 -17.134 0.458 Sr
0.031 -8.050 0.215 As
```

Properties
Its space-group type is R-3m (166). The calculation puts the volume at 183.0 Å³/cell. Its magnetic moment is 0.0000 μB/atom. For the total energy, the calculation gives -0.2262 Ry per atom.



DFT (PBE-GGA) results for crystalline Sr2Ga3Ge at its relaxed geometry.

```
Sr2Ga3Ge
1.0
-0.352 3.339 3.349
-3.332 -2.153 1.796
4.789 -3.817 4.310
Sr Ga Ge
2 3 1
Cartesian
2.380 -1.897 2.142 Sr
-1.650 -1.089 0.912 Sr
3.797 -1.497 5.250 Ga
1.376 -1.972 5.469 Ga
0.598 1.053 2.371 Ga
-0.232 -0.690 4.022 Ge
```

Properties
Its space-group type is Pmm2 (25). The calculation puts the energy above the lowest structure with this stoichiometry at 5 meV/atom. The calculation puts the volume at 154.6 Å³/cell. Its magnetic moment is 0.0000 μB/atom. For the total energy, the calculation gives -0.2485 Ry per atom.



DFT (PBE-GGA) results for crystalline DyAgP2O8 at its relaxed geometry.

```
DyAgP2O8
1.0
-5.270 -1.551 1.958
4.232 0.444 3.988
-0.631 5.329 -2.284
O Ag Dy P
8 1 1 2
Cartesian
-1.715 -0.060 3.828 O
-2.044 1.157 0.400 O
0.273 0.631 2.360 O
-0.272 3.941 1.658 O
-1.623 3.930 -0.523 O
-2.773 2.403 2.588 O
-4.033 2.431 0.291 O
-3.987 0.457 2.014 O
0.000 0.000 0.000 Ag
1.541 2.609 2.338 Dy
-0.519 -0.554 2.973 P
-3.210 1.612 1.323 P
```

Properties
Its space-group type is I-4m2 (119). The calculation puts the volume at 150.9 Å³/cell. Its magnetic moment is 0.1733 μB/atom. For the total energy, the calculation gives -0.5034 Ry per atom.



DFT (PBE-GGA) results for crystalline Ac8HgIr4 at its relaxed geometry.

```
Ac8HgIr4
1.0
-8.931 -1.203 -0.259
-4.160 -1.190 -7.909
-3.401 -8.071 -2.135
Ac Ir Hg
8 4 1
Cartesian
-3.801 -5.053 -2.379 Ac
-4.140 -1.979 -4.958 Ac
-8.230 -5.846 -2.854 Ac
-10.022 -6.359 -6.261 Ac
-2.281 -1.447 -1.425 Ac
-6.271 -1.985 -1.541 Ac
-6.175 -5.841 -6.149 Ac
-8.557 -2.882 -5.342 Ac
-10.682 -4.516 -3.978 Ir
-8.265 -4.509 -7.853 Ir
-7.881 -7.995 -4.928 Ir
-6.158 -3.907 -3.847 Ir
-12.370 -7.848 -7.727 Hg
```

Properties
Its space-group type is F-43m (216). The calculation puts the energy above the lowest structure with this stoichiometry at 35 meV/atom. The calculation puts the volume at 518.1 Å³/cell. Its magnetic moment is 0.0000 μB/atom. For the total energy, the calculation gives -0.4262 Ry per atom.



DFT (PBE-GGA) results for crystalline EuTePd at its relaxed geometry.

```
EuTePd
1.0
4.222 0.000 0.000
0.000 4.612 0.000
0.000 -2.306 3.994
Eu Pd Te
1 1 1
Cartesian
2.817 2.306 1.331 Eu
0.697 0.000 0.000 Pd
0.708 0.000 2.662 Te
```

Properties
Its space-group type is P3m1 (156). The calculation puts the volume at 77.8 Å³/cell. Its magnetic moment is 2.3424 μB/atom. For the total energy, the calculation gives -0.5387 Ry per atom.



DFT (PBE-GGA) results for crystalline KTaBr3 at its relaxed geometry.

```
KTaBr3
1.0
5.433 0.000 0.000
0.000 5.433 0.000
0.000 0.000 5.433
Ta Br K
1 3 1
Cartesian
0.000 0.000 0.000 Ta
0.000 2.716 0.000 Br
2.716 0.000 0.000 Br
0.000 0.000 2.716 Br
2.716 2.716 2.716 K
```

Properties
Its space-group type is Pm-3m (221). The calculation puts the energy above the lowest structure with this stoichiometry at 0 meV/atom. The calculation puts the volume at 160.3 Å³/cell. Its magnetic moment is 0.6005 μB/atom. For the total energy, the calculation gives -0.3060 Ry per atom.



DFT (PBE-GGA) results for crystalline CsZnP at its relaxed geometry.

```
CsZnP
1.0
-0.340 4.023 3.186
-4.984 4.967 -3.017
-2.645 -4.659 2.528
Cs Zn P
2 2 2
Cartesian
-3.900 1.521 1.577 Cs
-3.055 -2.584 2.411 Cs
-5.964 4.087 1.890 Zn
-4.101 3.505 -1.964 Zn
-5.426 4.819 -0.346 P
-3.865 5.171 1.278 P
```

Properties
Its space-group type is P1 (1). The calculation puts the volume at 199.2 Å³/cell. Its magnetic moment is 0.0000 μB/atom. For the total energy, the calculation gives -0.1984 Ry per atom.



DFT (PBE-GGA) results for crystalline Mg2ScZnC at its relaxed geometry.

```
Mg2ScZnC
1.0
4.378 0.000 0.000
0.000 4.378 0.000
0.000 0.000 4.520
Mg Sc Zn C
2 1 1 1
Cartesian
0.000 2.189 0.000 Mg
2.189 0.000 0.000 Mg
0.000 0.000 2.260 Sc
2.189 2.189 2.260 Zn
0.000 0.000 0.000 C
```

Properties
Its space-group type is P4/mmm (123). The calculation puts the volume at 86.6 Å³/cell. Its magnetic moment is 0.0000 μB/atom. For the total energy, the calculation gives -0.2981 Ry per atom.



DFT (PBE-GGA) results for crystalline KBaSr at its relaxed geometry.

```
KBaSr
1.0
-10.729 2.622 -3.685
-8.591 1.493 -7.232
-2.492 -3.138 1.540
Sr Ba K
1 1 1
Cartesian
-13.636 1.665 -6.710 Sr
-2.597 -3.092 1.462 Ba
-8.070 -0.733 -2.590 K
```

Properties
Its space-group type is Fmm2 (42). The calculation puts the energy above the lowest structure with this stoichiometry at 5 meV/atom. The calculation puts the volume at 187.7 Å³/cell. Its magnetic moment is 0.0001 μB/atom. For the total energy, the calculation gives -0.1104 Ry per atom.



DFT (PBE-GGA) results for crystalline Pm6NdIn4 at its relaxed geometry.

```
Pm6NdIn4
1.0
3.754 0.000 0.000
0.000 10.401 0.000
0.000 -5.200 9.007
Pm Nd In
6 1 4
Cartesian
1.877 2.219 7.286 Pm
0.000 7.188 4.150 Pm
1.877 0.000 3.442 Pm
1.877 -2.219 7.286 Pm
0.000 3.213 4.150 Pm
0.000 5.200 0.708 Pm
0.000 0.000 0.000 Nd
1.877 2.502 1.444 In
1.877 7.899 1.444 In
0.000 0.000 6.005 In
1.877 5.200 6.119 In
```

Properties
Its space-group type is P-6m2 (187). The calculation puts the volume at 351.7 Å³/cell. Its magnetic moment is 0.1527 μB/atom. For the total energy, the calculation gives -0.3167 Ry per atom.



DFT (PBE-GGA) results for crystalline RbSr2SnGe at its relaxed geometry.

```
RbSr2SnGe
1.0
-4.150 1.780 -4.681
-0.351 -5.154 -1.649
-4.990 -0.959 4.059
Rb Ge Sr Sn
1 1 2 1
Cartesian
-4.745 -2.167 -1.135 Rb
-0.175 -2.577 -0.824 Ge
-2.075 0.890 -2.341 Sr
-2.495 -0.480 2.030 Sr
0.000 0.000 0.000 Sn
```

Properties
Its space-group type is P4/mmm (123). The calculation puts the volume at 229.4 Å³/cell. Its magnetic moment is 0.0000 μB/atom. For the total energy, the calculation gives -0.1851 Ry per atom.



DFT (PBE-GGA) results for crystalline LiFe3P at its relaxed geometry.

```
LiFe3P
1.0
-0.417 1.674 -3.367
-3.745 0.115 0.521
0.333 3.391 1.645
Fe Li P
3 1 1
Cartesian
-0.209 0.837 -1.684 Fe
-1.873 0.057 0.260 Fe
0.166 1.695 0.822 Fe
0.000 0.000 0.000 Li
-1.915 2.590 -0.601 P
```

Properties
Its space-group type is Pm-3m (221). The calculation puts the energy above the lowest structure with this stoichiometry at 980 meV/atom. The calculation puts the volume at 54.2 Å³/cell. Its magnetic moment is 0.0001 μB/atom. For the total energy, the calculation gives -0.3892 Ry per atom.